Record 1
Computed, not measured: crystalline LaTaSb2 at its relaxed geometry at the PBEsol level of DFT. Values from VASP.

## Properties
Raw total energy = -0.5129 Ry/atom
M_tot = 0.0 Bohr magnetons per cell
Space group = Amm2
ΔE_f (raw) = -0.225 eV per atom

```
&SYSTEM
  ibrav = 0, nat = 4, ntyp = 3
/
ATOMIC_SPECIES
La 138.91 La.upf
Ta 180.95 Ta.upf
Sb 121.76 Sb.upf
ATOMIC_POSITIONS crystal
La 0.000 0.000 0.000
Ta 0.500 0.715 0.715
Sb 0.000 0.721 0.721
Sb 0.500 0.418 0.418
CELL_PARAMETERS angstrom
5.253 0.000 0.000
0.000 1.929 5.336
0.000 -1.929 5.336
```

---

Record 2
Computed, not measured: crystalline CaCd3C at its relaxed geometry at the PBEsol level of DFT. Values from VASP.

## Properties
Raw total energy = -0.0782 Ry/atom
M_tot = 3.0 Bohr magnetons per cell
Space group = Pm-3m
Formation enthalpy at 0 K = 2.010 eV/atom

```
&SYSTEM
  ibrav = 0, nat = 5, ntyp = 3
/
ATOMIC_SPECIES
Ca 40.08 Ca.upf
Cd 112.41 Cd.upf
C 12.01 C.upf
ATOMIC_POSITIONS crystal
Ca 0.000 0.000 0.000
Cd 0.000 0.000 0.500
Cd 0.000 0.500 0.000
Cd 0.500 0.000 0.000
C 0.500 0.500 0.500
CELL_PARAMETERS angstrom
6.053 0.000 0.000
0.000 6.053 0.000
0.000 0.000 6.053
```

---

Record 3
Computed, not measured: crystalline Cr2HgW at its relaxed geometry at the PBEsol level of DFT. Values from VASP.

## Properties
Raw total energy = -0.5893 Ry/atom
M_tot = 0.0 Bohr magnetons per cell
Space group = C2/m
Formation enthalpy at 0 K = 0.697 eV/atom

```
&SYSTEM
  ibrav = 0, nat = 4, ntyp = 3
/
ATOMIC_SPECIES
Cr 52.00 Cr.upf
Hg 200.59 Hg.upf
W 183.84 W.upf
ATOMIC_POSITIONS crystal
Cr 0.000 0.500 0.000
Cr 0.500 0.000 0.000
Hg 0.000 0.000 0.500
W 0.500 0.500 0.500
CELL_PARAMETERS angstrom
2.725 -4.269 0.000
2.725 4.269 0.000
-0.871 0.000 2.500
```